1.
! PBE-GGA Li4PuAu5, relaxed; values from VASP
! ΔE_f, meV/atom: -524
! Total energy, eV per atom: -4.3614
! SG: P4/mmm, No. 123
&SYSTEM
  ibrav = 0, nat = 10, ntyp = 3
/
ATOMIC_SPECIES
Li 6.94 Li.upf
Au 196.97 Au.upf
Pu 244.00 Pu.upf
ATOMIC_POSITIONS crystal
Li 0.000 0.000 0.774
Li 0.000 0.000 0.408
Li 0.000 0.000 0.592
Li 0.000 0.000 0.226
Au 0.500 0.500 0.683
Au 0.500 0.500 0.500
Au 0.500 0.500 0.317
Au 0.500 0.500 0.134
Au 0.500 0.500 0.866
Pu 0.000 0.000 0.000
CELL_PARAMETERS angstrom
3.233 0.000 0.000
0.000 3.233 0.000
0.000 0.000 16.183

=====

2.
! PBE-GGA Dy6MgSe8, relaxed; values from VASP
! Total energy, eV per atom: -5.5604
! SG: Fm-3m, No. 225
&SYSTEM
  ibrav = 0, nat = 15, ntyp = 3
/
ATOMIC_SPECIES
Mg 24.30 Mg.upf
Se 78.96 Se.upf
Dy 162.50 Dy.upf
ATOMIC_POSITIONS crystal
Mg 0.000 0.000 0.000
Se 0.750 0.750 0.750
Se 0.250 0.250 0.250
Se 0.244 0.756 0.244
Se 0.756 0.756 0.244
Se 0.244 0.244 0.756
Se 0.244 0.756 0.756
Se 0.756 0.244 0.244
Se 0.756 0.244 0.756
Dy 0.000 0.500 0.500
Dy 0.500 0.000 0.500
Dy 0.500 0.500 0.000
Dy 0.500 0.000 0.000
Dy 0.000 0.000 0.500
Dy 0.000 0.500 0.000
CELL_PARAMETERS angstrom
-3.876 4.569 -5.471
-7.948 1.420 0.801
-2.613 7.410 2.023

=====

3.
! PBE-GGA YSc2Be, relaxed; values from VASP
! ΔE_f, meV/atom: 51
! Total energy, eV per atom: -5.6622
! SG: P4mm, No. 99
&SYSTEM
  ibrav = 0, nat = 4, ntyp = 3
/
ATOMIC_SPECIES
Sc 44.96 Sc.upf
Y 88.91 Y.upf
Be 9.01 Be.upf
ATOMIC_POSITIONS crystal
Sc 0.500 0.500 0.231
Sc 0.000 0.000 0.945
Y 0.000 0.000 0.549
Be 0.500 0.500 0.775
CELL_PARAMETERS angstrom
-3.200 0.824 0.296
0.152 -0.580 3.263
2.108 7.726 1.275

=====

4.
! PBE-GGA Sc2Te, relaxed; values from VASP
! Total energy, eV per atom: -5.8810
! SG: I4/mcm, No. 140
&SYSTEM
  ibrav = 0, nat = 6, ntyp = 2
/
ATOMIC_SPECIES
Sc 44.96 Sc.upf
Te 127.60 Te.upf
ATOMIC_POSITIONS crystal
Sc 0.667 0.833 0.500
Sc 0.833 0.333 0.167
Sc 0.167 0.667 0.833
Sc 0.333 0.167 0.500
Te 0.250 0.250 0.000
Te 0.750 0.750 0.000
CELL_PARAMETERS angstrom
5.105 -0.044 -2.735
0.618 3.503 4.570
-1.509 -5.338 1.665

=====

5.
! PBE-GGA Nd3NO, relaxed; values from VASP
! Total energy, eV per atom: -6.9642
! SG: P2_13, No. 198
&SYSTEM
  ibrav = 0, nat = 20, ntyp = 3
/
ATOMIC_SPECIES
O 16.00 O.upf
Nd 144.24 Nd.upf
N 14.01 N.upf
ATOMIC_POSITIONS crystal
O 0.165 0.335 0.665
O 0.335 0.665 0.165
O 0.835 0.835 0.835
O 0.665 0.165 0.335
Nd 0.126 0.001 0.743
Nd 0.501 0.757 0.874
Nd 0.374 0.999 0.243
Nd 0.874 0.501 0.757
Nd 0.243 0.374 0.999
Nd 0.499 0.257 0.626
Nd 0.001 0.743 0.126
Nd 0.757 0.874 0.501
Nd 0.743 0.126 0.001
Nd 0.257 0.626 0.499
Nd 0.626 0.499 0.257
Nd 0.999 0.243 0.374
N 0.928 0.428 0.072
N 0.072 0.928 0.428
N 0.428 0.072 0.928
N 0.572 0.572 0.572
CELL_PARAMETERS angstrom
-5.820 0.408 4.621
-4.634 -0.173 -5.821
-0.212 -7.429 0.389

=====

6.
! PBE-GGA DyNpRu, relaxed; values from VASP
! ΔE_f, meV/atom: -7
! Total energy, eV per atom: -8.9463
! SG: P1, No. 1
&SYSTEM
  ibrav = 0, nat = 6, ntyp = 3
/
ATOMIC_SPECIES
Ru 101.07 Ru.upf
Dy 162.50 Dy.upf
Np 237.00 Np.upf
ATOMIC_POSITIONS crystal
Ru 0.285 0.064 0.002
Ru 0.439 0.915 0.431
Dy 0.591 0.246 0.835
Dy 0.868 0.371 0.598
Np 0.002 0.488 0.288
Np 0.953 0.870 0.145
CELL_PARAMETERS angstrom
3.372 -0.069 -0.418
1.629 2.855 -0.513
-0.939 -0.932 13.354

=====

7.
! PBE-GGA Dy6Te3AsSe2, relaxed; values from VASP
! Total energy, eV per atom: -5.5831
! SG: C2/m, No. 12
&SYSTEM
  ibrav = 0, nat = 12, ntyp = 4
/
ATOMIC_SPECIES
Te 127.60 Te.upf
Se 78.96 Se.upf
Dy 162.50 Dy.upf
As 74.92 As.upf
ATOMIC_POSITIONS crystal
Te 0.168 0.832 0.500
Te 0.500 0.500 0.500
Te 0.832 0.168 0.500
Se 0.334 0.666 0.000
Se 0.666 0.334 0.000
Dy 0.399 0.072 0.215
Dy 0.601 0.928 0.785
Dy 0.745 0.745 0.216
Dy 0.928 0.601 0.785
Dy 0.255 0.255 0.784
Dy 0.072 0.399 0.215
As 0.000 0.000 0.000
CELL_PARAMETERS angstrom
7.255 0.001 0.000
-3.625 6.284 0.000
-1.211 -2.096 7.034

=====

8.
! PBE-GGA SrOsRu, relaxed; values from VASP
! ΔE_f, meV/atom: 301
! Total energy, eV per atom: -7.0944
! SG: P2_1/m, No. 11
! ΔE to the lowest computed polymorph, eV per atom: 0.046
&SYSTEM
  ibrav = 0, nat = 6, ntyp = 3
/
ATOMIC_SPECIES
Sr 87.62 Sr.upf
Os 190.23 Os.upf
Ru 101.07 Ru.upf
ATOMIC_POSITIONS crystal
Sr 0.357 0.620 0.771
Sr 0.857 0.534 0.271
Os 0.226 0.113 0.271
Os 0.988 0.041 0.771
Ru 0.533 0.142 0.771
Ru 0.681 0.012 0.271
CELL_PARAMETERS angstrom
5.200 -0.016 0.000
-1.564 5.613 0.000
0.000 0.000 4.450

=====

9.
! PBE-GGA NaCdO3, relaxed; values from VASP
! Total energy, eV per atom: -3.1572
! SG: Pm-3m, No. 221
&SYSTEM
  ibrav = 0, nat = 5, ntyp = 3
/
ATOMIC_SPECIES
Na 22.99 Na.upf
O 16.00 O.upf
Cd 112.41 Cd.upf
ATOMIC_POSITIONS crystal
Na 0.000 0.000 0.000
O 0.500 0.000 0.000
O 0.000 0.500 0.000
O 0.000 0.000 0.500
Cd 0.500 0.500 0.500
CELL_PARAMETERS angstrom
-1.049 0.142 -3.870
-0.160 -4.007 -0.104
-3.869 0.128 1.054

=====

10.
! PBE-GGA CaIrF6, relaxed; values from VASP
! Total energy, eV per atom: -5.1435
! SG: C2/m, No. 12
&SYSTEM
  ibrav = 0, nat = 8, ntyp = 3
/
ATOMIC_SPECIES
F 19.00 F.upf
Ir 192.22 Ir.upf
Ca 40.08 Ca.upf
ATOMIC_POSITIONS crystal
F 0.293 0.853 0.710
F 0.259 0.259 0.941
F 0.147 0.707 0.290
F 0.741 0.741 0.059
F 0.853 0.293 0.710
F 0.707 0.147 0.290
Ir 0.000 0.000 0.000
Ca 0.500 0.500 0.500
CELL_PARAMETERS angstrom
5.054 0.424 -0.025
0.802 5.008 -0.025
1.639 1.520 4.823

=====

11.
! PBE-GGA LaNd3Rh8, relaxed; values from VASP
! ΔE_f, meV/atom: -667
! Total energy, eV per atom: -7.1703
! SG: R3m, No. 160
&SYSTEM
  ibrav = 0, nat = 12, ntyp = 3
/
ATOMIC_SPECIES
Nd 144.24 Nd.upf
Rh 102.91 Rh.upf
La 138.91 La.upf
ATOMIC_POSITIONS crystal
Nd 0.500 0.500 0.500
Nd 0.375 0.375 0.875
Nd 0.000 0.000 0.000
Rh 0.438 0.438 0.186
Rh 0.438 0.938 0.186
Rh 0.437 0.937 0.689
Rh 0.688 0.688 0.937
Rh 0.937 0.937 0.689
Rh 0.187 0.187 0.438
Rh 0.937 0.437 0.689
Rh 0.938 0.438 0.186
La 0.875 0.875 0.375
CELL_PARAMETERS angstrom
5.192 0.000 1.567
2.360 4.625 1.567
-0.006 -0.004 9.405

=====

12.
! PBE-GGA HfSn3Pb, relaxed; values from VASP
! ΔE_f, meV/atom: 323
! Total energy, eV per atom: -4.8111
! SG: Pm-3m, No. 221
! ΔE to the lowest computed polymorph, eV per atom: 0.000
&SYSTEM
  ibrav = 0, nat = 5, ntyp = 3
/
ATOMIC_SPECIES
Pb 207.20 Pb.upf
Sn 118.71 Sn.upf
Hf 178.49 Hf.upf
ATOMIC_POSITIONS crystal
Pb 0.500 0.500 0.500
Sn 0.000 0.000 0.500
Sn 0.000 0.500 0.000
Sn 0.500 0.000 0.000
Hf 0.000 0.000 0.000
CELL_PARAMETERS angstrom
5.542 0.000 0.000
0.000 5.542 0.000
0.000 0.000 5.542

=====

13.
! PBE-GGA Ca2TaAs, relaxed; values from VASP
! ΔE_f, meV/atom: -41
! Total energy, eV per atom: -5.1675
! SG: Cm, No. 8
&SYSTEM
  ibrav = 0, nat = 4, ntyp = 3
/
ATOMIC_SPECIES
Ta 180.95 Ta.upf
As 74.92 As.upf
Ca 40.08 Ca.upf
ATOMIC_POSITIONS crystal
Ta 0.444 0.444 0.518
As 0.781 0.781 0.776
Ca 0.041 0.041 0.927
Ca 0.234 0.234 0.278
CELL_PARAMETERS angstrom
6.054 -0.037 0.025
5.037 3.359 0.025
2.219 0.665 4.963

=====

14.
! PBE-GGA AcLa5Tm, relaxed; values from VASP
! ΔE_f, meV/atom: 100
! Total energy, eV per atom: -4.6458
! SG: C2/c, No. 15
&SYSTEM
  ibrav = 0, nat = 14, ntyp = 3
/
ATOMIC_SPECIES
La 138.91 La.upf
Tm 168.93 Tm.upf
Ac 227.00 Ac.upf
ATOMIC_POSITIONS crystal
La 0.009 0.586 0.855
La 0.777 0.246 0.451
La 0.531 0.754 0.049
La 0.423 0.414 0.645
La 0.103 0.000 0.250
La 0.469 0.246 0.951
La 0.991 0.414 0.145
La 0.577 0.586 0.355
La 0.897 0.000 0.750
La 0.223 0.754 0.549
Tm 0.000 0.000 0.500
Tm 0.000 0.000 0.000
Ac 0.463 0.000 0.250
Ac 0.537 0.000 0.750
CELL_PARAMETERS angstrom
10.024 0.000 0.000
-5.012 4.255 0.335
0.000 4.014 12.479

=====

15.
! PBE-GGA KPdPbAu, relaxed; values from VASP
! ΔE_f, meV/atom: -190
! Total energy, eV per atom: -3.5094
! SG: Cm, No. 8
&SYSTEM
  ibrav = 0, nat = 4, ntyp = 4
/
ATOMIC_SPECIES
Au 196.97 Au.upf
K 39.10 K.upf
Pd 106.42 Pd.upf
Pb 207.20 Pb.upf
ATOMIC_POSITIONS crystal
Au 0.813 0.626 0.080
K 0.618 0.236 0.496
Pd 0.438 0.877 0.957
Pb 0.097 0.194 0.934
CELL_PARAMETERS angstrom
4.821 0.000 0.000
-2.410 4.176 -0.011
0.000 -2.792 5.901

=====

16.
! PBE-GGA Ca2TcRh, relaxed; values from VASP
! ΔE_f, meV/atom: 330
! Total energy, eV per atom: -5.1006
! SG: Cmmm, No. 65
! ΔE to the lowest computed polymorph, eV per atom: 0.188
&SYSTEM
  ibrav = 0, nat = 4, ntyp = 3
/
ATOMIC_SPECIES
Ca 40.08 Ca.upf
Rh 102.91 Rh.upf
Tc 98.00 Tc.upf
ATOMIC_POSITIONS crystal
Ca 0.000 0.000 0.478
Ca 0.000 0.000 0.022
Rh 0.500 0.500 0.250
Tc 0.500 0.500 0.750
CELL_PARAMETERS angstrom
-2.305 0.129 -1.960
-1.871 -1.002 2.161
-1.608 8.258 2.435

=====

17.
! PBE-GGA NaGa2O3, relaxed; values from VASP
! Total energy, eV per atom: -4.9994
! SG: Cmcm, No. 63
&SYSTEM
  ibrav = 0, nat = 12, ntyp = 3
/
ATOMIC_SPECIES
Ga 69.72 Ga.upf
O 16.00 O.upf
Na 22.99 Na.upf
ATOMIC_POSITIONS crystal
Ga 0.000 0.833 0.833
Ga 0.500 0.833 0.833
Ga 0.000 0.167 0.167
Ga 0.500 0.167 0.167
O 0.750 0.916 0.084
O 0.250 0.084 0.916
O 0.250 0.917 0.500
O 0.750 0.500 0.917
O 0.750 0.083 0.500
O 0.250 0.500 0.083
Na 0.250 0.501 0.499
Na 0.750 0.499 0.501
CELL_PARAMETERS angstrom
5.552 0.000 0.000
0.000 5.074 2.088
0.000 0.732 5.438

=====

18.
! PBE-GGA Ga2HgPd2, relaxed; values from VASP
! ΔE_f, meV/atom: -394
! Total energy, eV per atom: -3.7419
! SG: P4/mbm, No. 127
! ΔE to the lowest computed polymorph, eV per atom: 0.000
&SYSTEM
  ibrav = 0, nat = 10, ntyp = 3
/
ATOMIC_SPECIES
Ga 69.72 Ga.upf
Pd 106.42 Pd.upf
Hg 200.59 Hg.upf
ATOMIC_POSITIONS crystal
Ga 0.649 0.851 0.500
Ga 0.851 0.351 0.500
Ga 0.351 0.149 0.500
Ga 0.149 0.649 0.500
Pd 0.646 0.146 0.000
Pd 0.354 0.854 0.000
Pd 0.146 0.354 0.000
Pd 0.854 0.646 0.000
Hg 0.500 0.500 0.000
Hg 0.000 0.000 0.000
CELL_PARAMETERS angstrom
-6.382 0.861 -3.581
0.180 -7.083 -2.023
-1.557 -0.779 2.588

=====

19.
! PBE-GGA NaAc2Hg2, relaxed; values from VASP
! ΔE_f, meV/atom: -333
! Total energy, eV per atom: -2.3607
! SG: P4/mbm, No. 127
! ΔE to the lowest computed polymorph, eV per atom: 0.000
&SYSTEM
  ibrav = 0, nat = 10, ntyp = 3
/
ATOMIC_SPECIES
Hg 200.59 Hg.upf
Ac 227.00 Ac.upf
Na 22.99 Na.upf
ATOMIC_POSITIONS crystal
Hg 0.000 0.139 0.361
Hg 0.000 0.639 0.139
Hg 0.000 0.361 0.861
Hg 0.000 0.861 0.639
Ac 0.500 0.157 0.657
Ac 0.500 0.343 0.157
Ac 0.500 0.843 0.343
Ac 0.500 0.657 0.843
Na 0.000 0.500 0.500
Na 0.000 0.000 0.000
CELL_PARAMETERS angstrom
4.253 0.000 0.000
0.000 9.029 0.000
0.000 0.000 9.029

=====

20.
! PBE-GGA TmTl2Cd2, relaxed; values from VASP
! ΔE_f, meV/atom: 41
! Total energy, eV per atom: -2.1662
! SG: I4/mmm, No. 139
&SYSTEM
  ibrav = 0, nat = 5, ntyp = 3
/
ATOMIC_SPECIES
Cd 112.41 Cd.upf
Tm 168.93 Tm.upf
Tl 204.38 Tl.upf
ATOMIC_POSITIONS crystal
Cd 0.750 0.250 0.500
Cd 0.250 0.750 0.500
Tm 0.000 0.000 0.000
Tl 0.602 0.602 0.203
Tl 0.398 0.398 0.797
CELL_PARAMETERS angstrom
4.043 0.000 0.000
0.000 4.043 0.000
-2.022 -2.022 8.313

=====

21.
! PBE-GGA LiHfI5, relaxed; values from VASP
! Total energy, eV per atom: -3.7129
! SG: C2/c, No. 15
&SYSTEM
  ibrav = 0, nat = 14, ntyp = 3
/
ATOMIC_SPECIES
I 126.90 I.upf
Li 6.94 Li.upf
Hf 178.49 Hf.upf
ATOMIC_POSITIONS crystal
I 0.827 0.914 0.159
I 0.173 0.086 0.841
I 0.414 0.327 0.659
I 0.158 0.686 0.972
I 0.842 0.314 0.028
I 0.672 0.828 0.750
I 0.328 0.172 0.250
I 0.186 0.658 0.472
I 0.586 0.673 0.341
I 0.814 0.342 0.528
Li 0.874 0.626 0.250
Li 0.126 0.374 0.750
Hf 0.500 0.500 0.500
Hf 0.000 0.000 0.000
CELL_PARAMETERS angstrom
7.646 0.225 -2.399
-1.126 7.566 -2.399
-0.571 -0.682 11.099

=====

22.
! PBE-GGA CaRe2Pb, relaxed; values from VASP
! ΔE_f, meV/atom: 941
! Total energy, eV per atom: -6.7107
! SG: P4/mmm, No. 123
&SYSTEM
  ibrav = 0, nat = 4, ntyp = 3
/
ATOMIC_SPECIES
Ca 40.08 Ca.upf
Pb 207.20 Pb.upf
Re 186.21 Re.upf
ATOMIC_POSITIONS crystal
Ca 0.500 0.500 0.000
Pb 0.500 0.000 0.500
Re 0.000 0.000 0.000
Re 0.000 0.500 0.500
CELL_PARAMETERS angstrom
-3.064 3.474 -0.909
-2.710 -1.748 2.453
1.469 2.114 3.128

=====

23.
! PBE-GGA NaLi4Ag7, relaxed; values from VASP
! ΔE_f, meV/atom: -18
! Total energy, eV per atom: -2.4290
! SG: C2/m, No. 12
! ΔE to the lowest computed polymorph, eV per atom: 0.114
&SYSTEM
  ibrav = 0, nat = 12, ntyp = 3
/
ATOMIC_SPECIES
Ag 107.87 Ag.upf
Li 6.94 Li.upf
Na 22.99 Na.upf
ATOMIC_POSITIONS crystal
Ag 0.500 0.000 0.000
Ag 0.786 0.914 0.514
Ag 0.349 0.536 0.767
Ag 0.044 0.621 0.291
Ag 0.214 0.086 0.486
Ag 0.651 0.464 0.233
Ag 0.956 0.379 0.709
Li 0.590 0.228 0.592
Li 0.410 0.772 0.408
Li 0.732 0.682 0.854
Li 0.268 0.318 0.146
Na 0.000 0.000 0.000
CELL_PARAMETERS angstrom
-1.198 4.681 1.599
-1.125 -0.534 8.819
4.551 3.370 1.643

=====

24.
! PBE-GGA Cs2CaCo, relaxed; values from VASP
! ΔE_f, meV/atom: 1033
! Total energy, eV per atom: -1.6707
! SG: Fm-3m, No. 225
&SYSTEM
  ibrav = 0, nat = 4, ntyp = 3
/
ATOMIC_SPECIES
Cs 132.91 Cs.upf
Ca 40.08 Ca.upf
Co 58.93 Co.upf
ATOMIC_POSITIONS crystal
Cs 0.250 0.250 0.250
Cs 0.750 0.750 0.750
Ca 0.000 0.000 0.000
Co 0.500 0.500 0.500
CELL_PARAMETERS angstrom
-0.275 -6.093 -2.689
0.061 -5.383 3.930
-5.506 -3.696 0.675